Entry from Alexandria: a geometry-optimized Ca3VBr2F6 structure (PBE+U).

Raw total energy: -5.324 eV per atom
Magnetic moment: 6.0 μB/cell

```
data_Ca3VBr2F6
_cell_length_a 12.283
_cell_length_b 6.950
_cell_length_c 5.692
_cell_angle_alpha 90.00
_cell_angle_beta 101.51
_cell_angle_gamma 90.00
_space_group_name_H-M_alt 'C 1 2/m 1'
_space_group_IT_number 12
_space_group_name_Hall '-C 2y'
loop_
_atom_site_label
_atom_site_fract_x
_atom_site_fract_y
_atom_site_fract_z
_atom_site_occupancy
Ca1 0.000 0.000 0.000 1
Ca2 0.250 0.250 0.500 1
V1 0.000 0.500 0.500 1
Br1 0.206 0.000 0.859 1
F1 0.064 0.248 0.298 1
F2 0.171 0.500 0.639 1
```